Record 1
# CeH2F8

Crystalline CeH2F8 at its relaxed geometry (PBE-GGA, Alexandria via LeMat-Bulk).

Calculated values
space-group type: C2/m, No. 12

Unit cell a=5.593 b=5.990 c=5.990 alpha=49.14 beta=65.50 gamma=65.50
Sites, in units of the cell vectors:
F  0.783  0.087  0.694
F  0.217  0.913  0.306
F  0.214  0.395  0.395
F  0.786  0.605  0.605
F  0.638  0.191  0.191
H  0.392  0.309  0.309
F  0.217  0.306  0.913
F  0.783  0.694  0.087
F  0.362  0.809  0.809
H  0.608  0.691  0.691
Ce  0.000  0.000  0.000

=====

Record 2
# Ce2Ti2ZnRh5

Crystalline Ce2Ti2ZnRh5 at its relaxed geometry (PBE-GGA, Alexandria via LeMat-Bulk).

Calculated values
space-group type: P4/mbm, No. 127
formation energy from the elements: -0.509 eV/atom

Unit cell a=3.074 b=10.618 c=10.618 alpha=90.00 beta=90.00 gamma=90.00
Sites, in units of the cell vectors:
Zn  0.000  0.000  0.000
Rh  0.500  0.543  0.698
Ce  0.000  0.678  0.178
Rh  0.500  0.198  0.043
Rh  0.500  0.802  0.957
Rh  0.500  0.000  0.500
Rh  0.500  0.043  0.802
Ti  0.000  0.639  0.861
Ce  0.000  0.322  0.822
Ti  0.000  0.361  0.139
Rh  0.500  0.500  0.000
Ti  0.000  0.861  0.361
Ti  0.000  0.139  0.639
Rh  0.500  0.302  0.543
Ce  0.000  0.822  0.678
Rh  0.500  0.457  0.302
Zn  0.000  0.500  0.500
Rh  0.500  0.957  0.198
Rh  0.500  0.698  0.457
Ce  0.000  0.178  0.322

=====

Record 3
# YMoRh2

Crystalline YMoRh2 at its relaxed geometry (PBE-GGA, Alexandria via LeMat-Bulk).

Calculated values
excess energy over the best structure of this formula in the dataset: 149 meV per atom
space-group type: Fm-3m, No. 225
formation energy from the elements: -0.118 eV/atom

Unit cell a=4.629 b=4.629 c=4.629 alpha=60.00 beta=60.00 gamma=60.00
Sites, in units of the cell vectors:
Rh  0.250  0.250  0.250
Rh  0.750  0.750  0.750
Y  0.000  0.000  0.000
Mo  0.500  0.500  0.500

=====

Record 4
# DySc2TeO8

Crystalline DySc2TeO8 at its relaxed geometry (PBE-GGA, Alexandria via LeMat-Bulk).

Calculated values
formation energy (no corrections): -2.4841 eV/atom
space-group type: Cmmm, No. 65

Unit cell a=4.824 b=4.824 c=6.672 alpha=90.00 beta=90.00 gamma=90.49
Sites, in units of the cell vectors:
Dy  0.000  0.000  0.500
O  0.677  0.678  0.500
O  0.323  0.322  0.500
Sc  0.500  0.500  0.244
O  0.289  0.288  0.000
O  0.191  0.808  0.784
Sc  0.500  0.500  0.756
O  0.711  0.712  0.000
O  0.809  0.192  0.784
O  0.191  0.808  0.216
Te  0.000  0.000  0.000
O  0.809  0.192  0.216

=====

Record 5
# FePb

Crystalline FePb at its relaxed geometry (PBE-GGA, Alexandria via LeMat-Bulk).

Calculated values
space-group type: Pmmn, No. 59
formation energy from the elements: 0.703 eV/atom

Unit cell a=3.242 b=5.267 c=4.664 alpha=90.00 beta=90.00 gamma=90.00
Sites, in units of the cell vectors:
Fe  0.500  0.500  0.805
Pb  0.500  0.000  0.546
Pb  0.000  0.500  0.288
Fe  0.000  0.000  0.028

=====

Record 6
# Rb2PmHg2Te4

Crystalline Rb2PmHg2Te4 at its relaxed geometry (PBE-GGA, Alexandria via LeMat-Bulk).

Calculated values
formation energy (no corrections): -0.7964 eV/atom
space-group type: C2/m, No. 12

Unit cell a=4.755 b=8.717 c=9.036 alpha=109.31 beta=105.25 gamma=90.00
Sites, in units of the cell vectors:
Te  0.195  0.189  0.389
Te  0.805  0.811  0.611
Rb  0.867  0.416  0.734
Hg  0.669  0.972  0.338
Rb  0.133  0.584  0.266
Hg  0.331  0.028  0.662
Pm  0.000  0.000  0.000
Te  0.499  0.751  0.997
Te  0.501  0.249  0.003

=====

| no. | electronic total energy (eV/atom) |
| --- | --- |
| 1 | -4.647 |
| 2 | -7.078 |
| 3 | -8.117 |
| 4 | -7.490 |
| 5 | -5.382 |
| 6 | -3.003 |